1.
Below is a geometry-optimized Ac2La2In structure, with properties calculated at the PBE level.

Unit cell a=13.245 b=4.106 c=9.336 alpha=90.00 beta=131.73 gamma=90.00
Element x y z (fractional)
Ac1 0.083 0.000 0.371
Ac2 0.417 0.500 0.629
Ac3 0.583 0.500 0.371
Ac4 0.917 0.000 0.629
La1 0.238 0.500 0.826
La2 0.262 0.000 0.174
La3 0.738 0.000 0.826
La4 0.762 0.500 0.174
In1 0.000 0.500 0.000
In2 0.500 0.000 0.000

**Energy relative to the elements**: -171 meV/atom
**Total magnetic moment**: 0.0 μB/cell
**D(E_F)**: 6.8 states/eV/f.u.
**Calculated volume**: 37.9 A^3/atom
**Polymorph energy (0 for the lowest one)**: 0 meV per atom


2.
Below is a geometry-optimized PmPr2NdP4 structure, with properties calculated at the PBE level.

Unit cell a=7.233 b=4.180 c=7.233 alpha=90.00 beta=109.44 gamma=90.00
Element x y z (fractional)
Pm1 0.000 0.000 0.000
Pr1 0.000 0.500 0.500
Pr2 0.500 0.000 0.500
Nd1 0.500 0.500 0.000
P1 0.248 0.500 0.247
P2 0.250 0.000 0.753
P3 0.750 0.000 0.247
P4 0.752 0.500 0.753

**Energy relative to the elements**: -1533 meV/atom
**Total magnetic moment**: 0.0 μB/cell
**D(E_F)**: 0.7 states/eV/f.u.
**Calculated volume**: 25.8 A^3/atom


3.
Below is a geometry-optimized ScBP2C structure, with properties calculated at the PBE level.

Unit cell a=9.584 b=3.041 c=5.012 alpha=90.00 beta=94.34 gamma=90.00
Element x y z (fractional)
Sc1 0.000 0.000 0.000
Sc2 0.500 0.500 0.000
B1 0.286 0.000 0.925
B2 0.786 0.500 0.925
P1 0.226 0.500 0.109
P2 0.399 0.500 0.471
P3 0.726 0.000 0.109
P4 0.899 0.000 0.471
C1 0.370 0.000 0.671
C2 0.870 0.500 0.671

**Energy relative to the elements**: -218 meV/atom
**Total magnetic moment**: 0.0 μB/cell
**D(E_F)**: 0.7 states/eV/f.u.
**Calculated volume**: 14.6 A^3/atom
**Polymorph energy (0 for the lowest one)**: 25 meV per atom


4.
Below is a geometry-optimized ReI2O structure, with properties calculated at the PBE level.

Unit cell a=6.241 b=6.241 c=10.314 alpha=90.00 beta=90.00 gamma=90.00
Element x y z (fractional)
Re1 0.000 0.000 0.000
Re2 0.000 0.500 0.250
Re3 0.500 0.000 0.750
Re4 0.500 0.500 0.500
I1 0.249 0.250 0.625
I2 0.250 0.749 0.875
I3 0.250 0.751 0.375
I4 0.251 0.250 0.125
I5 0.749 0.750 0.125
I6 0.750 0.249 0.375
I7 0.750 0.251 0.875
I8 0.751 0.750 0.625
O1 0.000 0.000 0.500
O2 0.000 0.500 0.750
O3 0.500 0.000 0.250
O4 0.500 0.500 0.000

**Formation energy (no corrections)**: 0.9407 eV/atom
**Total magnetic moment**: 0.0 μB/cell
**D(E_F)**: 2.6 states/eV/f.u.
**Calculated volume**: 25.1 A^3/atom


5.
Below is a geometry-optimized Cs2RbTl6Pb structure, with properties calculated at the PBE level.

Unit cell a=9.150 b=9.150 c=9.150 alpha=120.18 beta=119.86 gamma=89.97
Element x y z (fractional)
Cs1 0.250 0.250 0.000
Cs2 0.750 0.750 0.000
Rb1 0.500 0.000 0.500
Tl1 0.230 0.269 0.499
Tl2 0.230 0.731 0.961
Tl3 0.231 0.731 0.500
Tl4 0.769 0.269 0.500
Tl5 0.770 0.269 0.039
Tl6 0.770 0.731 0.501
Pb1 0.000 0.500 0.500

**Energy relative to the elements**: 113 meV/atom
**Total magnetic moment**: 0.0 μB/cell
**D(E_F)**: 4.7 states/eV/f.u.
**Calculated volume**: 54.2 A^3/atom


6.
Below is a geometry-optimized CaMg2N structure, with properties calculated at the PBE level.

Unit cell a=6.567 b=6.567 c=9.272 alpha=90.00 beta=90.00 gamma=90.00
Element x y z (fractional)
Ca1 0.000 0.250 0.375
Ca2 0.000 0.750 0.625
Ca3 0.500 0.250 0.125
Ca4 0.500 0.750 0.875
Mg1 0.000 0.000 0.000
Mg2 0.000 0.500 0.000
Mg3 0.250 0.250 0.750
Mg4 0.250 0.750 0.250
Mg5 0.500 0.000 0.500
Mg6 0.500 0.500 0.500
Mg7 0.750 0.250 0.750
Mg8 0.750 0.750 0.250
N1 0.000 0.250 0.875
N2 0.000 0.750 0.125
N3 0.500 0.250 0.625
N4 0.500 0.750 0.375

**Formation energy (no corrections)**: -0.1520 eV/atom
**Total magnetic moment**: 0.0 μB/cell
**D(E_F)**: 3.2 states/eV/f.u.
**Calculated volume**: 25.0 A^3/atom